# 1
The following is a PBE calculation of a geometry-optimized CrIrS2N structure, from Alexandria.

Cell lengths 4.8740, 4.8740, 3.6390 Å; angles 90.00, 90.00, 90.00 degrees
Last column: nearest neighbours and their distance in Å.
Fractional positions:
Cr 0.0000 0.0000 0.0000  8 S 3.04
Ir 0.5000 0.5000 0.5000  2 N 1.82
S 0.0000 0.5000 0.5000  2 Ir 2.44
S 0.5000 0.0000 0.5000  2 Ir 2.44
N 0.5000 0.5000 0.0000  2 Ir 1.82

**Theoretical density**: 6.19 Mg/m³
**Density of states at the Fermi level**: 2.7 states/eV/cell
**SG**: No. 123
**M_tot**: 3.64 μB per cell
**Energy above the most stable polymorph in this dataset**: 0 meV per atom

---

# 2
The following is a PBE calculation of a geometry-optimized Cs2RbAl3F12 structure, from Alexandria.

Cell lengths 7.6819, 7.6819, 7.6819 Å; angles 55.93, 55.93, 55.93 degrees
Last column: nearest neighbours and their distance in Å.
Fractional positions:
Cs 0.1196 0.1196 0.1196  6 F 3.03-3.37
Cs 0.8804 0.8804 0.8804  6 F 3.03-3.37
Rb 0.5000 0.5000 0.5000  6 F 2.73
Al 0.0000 0.5000 0.5000  6 F 1.77-1.88
Al 0.5000 0.0000 0.5000  6 F 1.77-1.88
Al 0.5000 0.5000 0.0000  6 F 1.77-1.88
F 0.0560 0.6079 0.6079  1 Al 1.77
F 0.2183 0.2183 0.5910  2 Al 1.88
F 0.2183 0.5910 0.2183  2 Al 1.88
F 0.3921 0.3921 0.9440  1 Al 1.77
F 0.3921 0.9440 0.3921  1 Al 1.77
F 0.4090 0.7817 0.7817  2 Al 1.88
F 0.5910 0.2183 0.2183  2 Al 1.88
F 0.6079 0.0560 0.6079  1 Al 1.77
F 0.6079 0.6079 0.0560  1 Al 1.77
F 0.7817 0.4090 0.7817  2 Al 1.88
F 0.7817 0.7817 0.4090  2 Al 1.88
F 0.9440 0.3921 0.3921  1 Al 1.77

**Theoretical density**: 3.78 Mg/m³
**Density of states at the Fermi level**: 0.0 states/eV/cell
**SG**: No. 166
**M_tot**: 0.00 μB per cell
**Total DFT energy (no corrections)**: -5.3843 eV per atom

---

# 3
The following is a PBE calculation of a geometry-optimized Cr2FeBiPb structure, from Alexandria.

Cell lengths 5.1695, 5.1695, 5.9233 Å; angles 90.00, 90.00, 90.00 degrees
Last column: nearest neighbours and their distance in Å.
Fractional positions:
Cr 0.0000 0.5000 0.0000  2 Pb 2.58
Cr 0.5000 0.0000 0.0000  2 Pb 2.58
Fe 0.0000 0.0000 0.5000  4 Bi 3.66, 8 Cr 3.93
Bi 0.5000 0.5000 0.5000  2 Pb 2.96
Pb 0.5000 0.5000 0.0000  4 Cr 2.58

**Theoretical density**: 6.04 Mg/m³
**Density of states at the Fermi level**: 12.6 states/eV/cell
**SG**: No. 123
**M_tot**: 11.68 μB per cell
**Total DFT energy (no corrections)**: -5.2668 eV per atom

---

# 4
The following is a PBE calculation of a geometry-optimized B5C structure, from Alexandria.

Cell lengths 4.8046, 4.8046, 4.5189 Å; angles 98.77, 98.77, 119.83 degrees
Last column: nearest neighbours and their distance in Å.
Fractional positions:
B 0.0002 0.3206 0.4460  1 C 1.60, 3 B 1.72-1.76
B 0.9998 0.6794 0.5540  1 C 1.60, 3 B 1.72-1.76
B 0.0115 0.4019 0.8333  3 B 1.70-1.86
B 0.1959 0.1959 0.0591  1 C 1.58
B 0.3206 0.0002 0.4460  1 C 1.60, 3 B 1.72-1.76
B 0.4019 0.0115 0.8333  3 B 1.70-1.86
B 0.5981 0.9885 0.1667  3 B 1.70-1.86
B 0.6794 0.9998 0.5540  1 C 1.60, 3 B 1.72-1.76
B 0.8041 0.8041 0.9409  1 C 1.58
B 0.9885 0.5981 0.1667  3 B 1.70-1.86
C 0.3370 0.3370 0.4237  1 C 1.51, 3 B 1.58-1.60
C 0.6630 0.6630 0.5763  1 C 1.51, 3 B 1.58-1.60

**Theoretical density**: 2.55 Mg/m³
**Density of states at the Fermi level**: 2.3 states/eV/cell
**SG**: No. 12
**M_tot**: 0.00 μB per cell
**Energy above the most stable polymorph in this dataset**: 285 meV per atom